The following is a PBE calculation of an optimized crystal structure of LiNdMgSn2, from Alexandria.

Calculated values
density of states at the Fermi level: 2.55 states/eV/f.u.
final energy: -0.137 hartree per atom
total magnetization: 0.0 μB/cell

Structure (CIF):
```
data_LiNdMgSn2
_cell_length_a 4.4622
_cell_length_b 4.4622
_cell_length_c 12.5883
_cell_angle_alpha 90.00
_cell_angle_beta 90.00
_cell_angle_gamma 90.00
_symmetry_space_group_name_H-M 'I -4 m 2'
_symmetry_Int_Tables_number 119
_symmetry_space_group_name_Hall 'I -4 -2'
loop_
_atom_site_label
_atom_site_type_symbol
_atom_site_fract_x
_atom_site_fract_y
_atom_site_fract_z
Li1 Li 0.0000 0.0000 0.0000
Nd1 Nd 0.0000 0.5000 0.7500
Mg1 Mg 0.0000 0.0000 0.5000
Sn1 Sn 0.0000 0.5000 0.1380
```